No. 1
First-principles (GGA-PBE) data for an optimized crystal structure of ZnSiAs2, as listed in the Alexandria database.

Cell: 2.829 2.829 9.077 Å, 90.00 90.00 90.00°
Fractional positions:
Si (0.000, 0.000, 0.522)
Zn (0.500, 0.500, 0.731)
As (0.500, 0.500, 0.297)
As (0.000, 0.000, 0.951)

## Properties
The symmetry is P4mm (99). The uncorrected formation energy is 0.359 eV/atom.

---

No. 2
First-principles (GGA-PBE) data for an optimized crystal structure of ZnSiAs2, as listed in the Alexandria database.

Cell: 4.295 2.978 6.111 Å, 87.06 90.00 90.00°
Fractional positions:
As (0.500, 0.574, 0.349)
As (0.000, 0.115, 0.886)
Zn (0.500, 0.621, 0.783)
Si (0.000, 0.189, 0.482)

## Properties
The symmetry is Pm (6). The uncorrected formation energy is 0.220 eV/atom.

---

No. 3
First-principles (GGA-PBE) data for an optimized crystal structure of Zn2SiAs, as listed in the Alexandria database.

Cell: 4.325 4.325 6.747 Å, 85.12 85.12 38.52°
Fractional positions:
Si (0.623, 0.623, 0.814)
As (0.625, 0.625, 0.457)
Zn (0.366, 0.366, 0.283)
Zn (0.886, 0.886, 0.945)

## Properties
The symmetry is Cm (8). The uncorrected formation energy is 0.131 eV/atom.